1.
The following is a DFT calculation (PBE) of crystalline BiPHOs2 at its relaxed geometry.

a b c (Å): 4.7031 4.7031 3.3412
angles (deg): 90.00 90.00 90.00
Last column: nearest neighbours and their distance in Å.
Space group P4/mmm (No. 123)
Inequivalent atoms, fractional coordinates:
Bi 0.0000 0.0000 0.0000 (multiplicity 1)  8 Os 2.88
P 0.5000 0.5000 0.5000 (multiplicity 1)  2 H 1.67
H 0.5000 0.5000 0.0000 (multiplicity 1)  2 P 1.67
Os 0.0000 0.5000 0.5000 (multiplicity 2)  2 P 2.35

calculated volume	73.9	Å³/cell
DOS at the Fermi energy	4.93	states/eV/f.u.
uncorrected energy	-6.26	eV/atom

2.
The following is a DFT calculation (PBE) of crystalline Y4Ga12Hg at its relaxed geometry.

a b c (Å): 8.7929 8.7929 8.7929
angles (deg): 90.00 90.00 90.00
Last column: nearest neighbours and their distance in Å.
Space group Im-3m (No. 229)
Inequivalent atoms, fractional coordinates:
Y 0.2500 0.2500 0.2500 (multiplicity 8)  12 Ga 3.11-3.16
Ga 0.0000 0.0000 0.3131 (multiplicity 12)  4 Ga 2.74, 1 Hg 2.75
Ga 0.0000 0.2500 0.5000 (multiplicity 12)  4 Ga 2.74
Hg 0.0000 0.0000 0.0000 (multiplicity 2)  6 Ga 2.75

calculated volume	679.8	Å³/cell
DOS at the Fermi energy	9.92	states/eV/f.u.
energy of formation from the pure elements	-8.03	eV per formula unit
uncorrected energy	-4.15	eV/atom